(1)
A relaxed structure of AlPCN4. Source: Alexandria, functional PBE.

Cell and atoms, written as POSCAR:
```
AlPCN4
1.0
4.8027 -0.0014 -0.0005
-0.4268 5.0615 0.0000
-1.3583 -0.9501 6.6069
P C Al N
2 2 2 8
Direct
0.7898 0.4104 0.9145
0.1526 0.8362 0.3595
0.5771 0.2561 0.4868
0.9778 0.0494 0.6997
0.6850 0.8609 0.1433
0.2687 0.3073 0.1096
0.0656 0.0264 0.9018
0.7429 0.1918 0.6635
0.5299 0.5219 0.0090
0.4932 0.4939 0.5073
0.2728 0.5385 0.3519
0.1410 0.9574 0.5827
0.8523 0.1236 0.0193
0.4567 0.0618 0.3082
```

Summary:
Its total moment is 0.0000 μB/atom. The formation energy without anion corrections comes out at -19 meV/atom. Its volume is 160.6 Å³/cell. The value obtained for the total energy is -7.401 eV/atom.

---

(2)
A relaxed structure of AlPCN4. Source: Alexandria, functional PBE.

Cell and atoms, written as POSCAR:
```
AlPCN4
1.0
-4.7288 -0.4066 -1.4143
-0.5088 -1.5896 4.6994
0.1288 6.3148 0.8541
P C Al N
2 2 2 8
Direct
0.8895 0.6317 0.1358
0.8902 0.2154 0.4030
0.6118 0.5783 0.5978
0.0028 0.9866 0.7411
0.3446 0.5200 0.8051
0.3589 0.2832 0.1725
0.1531 0.9869 0.9383
0.8369 0.7560 0.6314
0.6016 0.4307 0.0108
0.8173 0.9193 0.2518
0.0672 0.4457 0.2893
0.0672 0.2119 0.6485
0.1299 0.7160 0.9873
0.5935 0.3238 0.4446
```

Summary:
Its total moment is 0.0000 μB/atom. The formation energy without anion corrections comes out at -201 meV/atom. Its volume is 150.6 Å³/cell. The value obtained for the total energy is -7.583 eV/atom.

---

Q: What is the total moment in the second record?
A: 0.0000 μB/atom